Record 1
Computed, not measured: Be2TeH2 after structural relaxation at the GGA-PBE level of DFT.

abc: 3.326 3.326 5.895
angles: 73.61 73.61 90.00
Atoms (fractional coordinates):
Be  0.218  0.218  0.564
Be  0.782  0.782  0.436
H  0.750  0.250  0.500
H  0.250  0.750  0.500
Te  0.000  0.000  0.000

Computed properties:
Energy above the lowest structure with this stoichiometry   0 meV/atom
Calculated volume   59.8 Å³/cell

***

Record 2
Computed, not measured: La2Al6TcPd after structural relaxation at the GGA-PBE level of DFT.

abc: 6.756 6.759 6.764
angles: 59.98 59.99 90.01
Atoms (fractional coordinates):
La  0.250  0.750  0.500
La  0.750  0.250  0.500
Al  0.249  0.751  0.000
Al  0.751  0.751  0.498
Al  0.249  0.249  0.000
Al  0.751  0.751  0.000
Al  0.249  0.249  0.502
Al  0.751  0.249  0.000
Tc  0.000  0.000  0.000
Pd  0.500  0.500  0.000

Computed properties:
E_form   -0.37 eV/atom
Calculated volume   218.3 Å³/cell

***

Respective total moment values: 0.00 0.01 μB per cell.